Entry 1:
A plane-wave DFT calculation with PBE was carried out for a relaxed BaTbCu2S4 crystal.

a b c (Å): 6.634 6.662 8.334
angles (deg): 90.00 90.00 90.00
Space group I222 (No. 23)
Symmetry-distinct sites (fractional):
Ba1 0.000 0.000 0.000 (multiplicity 2)
Tb1 0.000 0.000 0.500 (multiplicity 2)
Cu1 0.000 0.500 0.247 (multiplicity 4)
S1 0.219 0.217 0.296 (multiplicity 8)

---

Entry 2:
A plane-wave DFT calculation with PBE was carried out for a relaxed BaCuTeS4 crystal.

a b c (Å): 7.027 7.027 7.900
angles (deg): 90.00 90.00 90.00
Space group I-4 (No. 82)
Symmetry-distinct sites (fractional):
Ba1 0.000 0.000 0.000 (multiplicity 2)
Cu1 0.000 0.000 0.500 (multiplicity 2)
Te1 0.000 0.500 0.250 (multiplicity 2)
S1 0.179 0.791 0.348 (multiplicity 8)

---

Number 1: ΔE_f (raw) -1134 meV/atom. Number 2: ΔE_f (raw) -522 meV/atom.